# 1
CsSrPuO4 | PBE | optimized geometry

Values from the calculation:
SG: P2_1/m, No. 11
Total magnetization (μB/cell): 6.0
Raw formation energy (meV per atom): -2370.4

abc: 6.423 6.360 8.858
angles: 90.00 114.86 90.00
Each line ends with the local moment (μB).
Fractional coordinates of all 14 atoms:
Cs1 0.437 0.750 0.847  0.00
Cs2 0.563 0.250 0.153  0.00
Pu1 0.176 0.750 0.271  3.31
Pu2 0.824 0.250 0.729  3.31
O1 0.425 0.750 0.193  -0.13
O2 0.015 0.025 0.683  -0.11
O3 0.985 0.975 0.317  -0.11
O4 0.575 0.250 0.807  -0.13
O5 0.420 0.750 0.503  -0.12
O6 0.580 0.250 0.497  -0.12
O7 0.015 0.475 0.683  -0.11
O8 0.985 0.525 0.317  -0.11
Sr1 0.208 0.250 0.530  0.00
Sr2 0.792 0.750 0.470  0.00

***

# 2
CrReNi2 | PBE | optimized geometry

Values from the calculation:
Energy of formation from the pure elements (kcal/mol of atoms): 1.4
Energy above the most stable polymorph in this dataset (meV per atom): 58
SG: I-4m2, No. 119
Total magnetization (μB/cell): 0.1

abc: 4.403 4.403 4.403
angles: 130.34 130.36 72.84
Each line ends with the local moment (μB).
Fractional coordinates of all 4 atoms:
Ni1 0.000 0.000 0.000  0.02
Ni2 0.750 0.250 0.500  0.02
Re1 0.500 0.500 0.000  -0.01
Cr1 0.250 0.750 0.500  0.06

***

# 3
TiZn2Au | PBE | optimized geometry

Values from the calculation:
Energy of formation from the pure elements (kcal/mol of atoms): -2.1
SG: Pmmm, No. 47
Total magnetization (μB/cell): 0.0

abc: 2.724 2.853 8.614
angles: 90.00 90.00 90.00
Fractional coordinates of all 4 atoms:
Ti1 0.500 0.489 0.000
Zn1 0.000 0.989 0.232
Zn2 0.000 0.989 0.768
Au1 0.000 0.489 0.500